(1)
LaAlFeC | GGA-PBE | relaxed

Cell and atoms, written as POSCAR:
```
LaAlFeC
1.0
-1.100 -0.344 3.036
-3.163 -1.259 -1.289
3.564 -4.491 0.782
Al Fe La C
1 1 1 1
direct
0.000 0.999 0.998
0.500 0.541 0.082
0.500 0.263 0.527
0.000 0.627 0.253
```

## Properties
Energy of formation from the pure elements = -1.09 kcal/mol of atoms
M_tot = 0.00 μB per cell
Crystal system = orthorhombic

(2)
TiNbP2 | GGA-PBE | relaxed

Cell and atoms, written as POSCAR:
```
TiNbP2
1.0
0.000 3.094 3.094
3.094 0.000 3.094
3.094 3.094 0.000
Ti P Nb
1 2 1
direct
0.000 0.000 0.000
0.250 0.250 0.250
0.750 0.750 0.750
0.500 0.500 0.500
```

## Properties
Energy of formation from the pure elements = -16.35 kcal/mol of atoms
Relative energy among the computed polymorphs = 297 meV/atom
M_tot = 0.00 μB per cell
Crystal system = cubic

(3)
Pu2HgB2Rh5 | GGA-PBE | relaxed

Cell and atoms, written as POSCAR:
```
Pu2HgB2Rh5
1.0
-0.338 1.530 2.809
-0.608 -8.607 4.615
9.712 -0.045 1.194
B Rh Hg Pu
4 10 2 4
direct
0.000 0.120 0.620
0.000 0.380 0.120
0.000 0.620 0.880
0.000 0.880 0.380
0.500 0.930 0.231
0.500 0.731 0.430
0.500 0.231 0.070
0.500 0.070 0.769
0.500 0.000 0.500
0.500 0.500 0.000
0.500 0.430 0.269
0.500 0.570 0.731
0.500 0.769 0.930
0.500 0.269 0.570
0.000 0.500 0.500
0.000 0.000 0.000
0.000 0.823 0.677
0.000 0.177 0.323
0.000 0.323 0.823
0.000 0.677 0.177
```

## Properties
Energy of formation from the pure elements = -10.51 kcal/mol of atoms
M_tot = 19.15 μB per cell
Crystal system = tetragonal

(4)
Ho2Ga4RuPt3 | GGA-PBE | relaxed

Cell and atoms, written as POSCAR:
```
Ho2Ga4RuPt3
1.0
-1.437 3.134 2.493
-3.898 -0.488 -1.634
-2.212 -6.835 7.317
Ga Ru Pt Ho
4 1 3 2
direct
0.500 0.500 0.000
0.500 0.000 0.627
0.000 0.000 0.000
0.000 0.500 0.373
0.500 0.500 0.500
0.500 0.000 0.866
0.000 0.000 0.500
0.000 0.500 0.134
0.500 0.000 0.266
0.000 0.500 0.734
```

## Properties
Energy of formation from the pure elements = -19.63 kcal/mol of atoms
M_tot = 0.00 μB per cell
Crystal system = tetragonal

| no. | theoretical density (g/cm3) |
| --- | --- |
| 1 | 5.98 |
| 2 | 5.68 |
| 3 | 13.21 |
| 4 | 11.58 |